# 1
## TmLuOs2 (GGA-PBE)

Data for a relaxed TmLuOs2 crystal.

CIF file:
```
data_TmLuOs2
_cell_length_a 6.706
_cell_length_b 6.706
_cell_length_c 6.706
_cell_angle_alpha 90.00
_cell_angle_beta 90.00
_cell_angle_gamma 90.00
_symmetry_space_group_name_H-M 'F m -3 m'
_symmetry_Int_Tables_number 225
_symmetry_space_group_name_Hall '-F 4 2 3'
loop_
_atom_site_label
_atom_site_type_symbol
_atom_site_fract_x
_atom_site_fract_y
_atom_site_fract_z
Tm1 Tm 0.000 0.000 0.000
Lu1 Lu 0.000 0.000 0.500
Os1 Os 0.250 0.250 0.250
```

Energy above the most stable polymorph in this dataset ... 4.7 meV/atom


# 2
## TmLu2Os (GGA-PBE)

Data for a relaxed TmLu2Os crystal.

CIF file:
```
data_TmLu2Os
_cell_length_a 3.349
_cell_length_b 3.349
_cell_length_c 8.873
_cell_angle_alpha 90.00
_cell_angle_beta 90.00
_cell_angle_gamma 90.00
_symmetry_space_group_name_H-M 'P 4/m m m'
_symmetry_Int_Tables_number 123
_symmetry_space_group_name_Hall '-P 4 2'
loop_
_atom_site_label
_atom_site_type_symbol
_atom_site_fract_x
_atom_site_fract_y
_atom_site_fract_z
Tm1 Tm 0.000 0.000 0.000
Lu1 Lu 0.500 0.500 0.318
Os1 Os 0.000 0.000 0.500
```

Energy above the most stable polymorph in this dataset ... 0.0 meV/atom


# 3
## TmLu2Os (GGA-PBE)

Data for a relaxed TmLu2Os crystal.

CIF file:
```
data_TmLu2Os
_cell_length_a 3.3947
_cell_length_b 3.3947
_cell_length_c 30.0516
_cell_angle_alpha 90.00
_cell_angle_beta 90.00
_cell_angle_gamma 120.00
_symmetry_space_group_name_H-M 'R -3 m'
_symmetry_Int_Tables_number 166
_symmetry_space_group_name_Hall '-R 3 2"'
loop_
_atom_site_label
_atom_site_type_symbol
_atom_site_fract_x
_atom_site_fract_y
_atom_site_fract_z
Tm1 Tm 0.0000 0.0000 0.0000
Lu1 Lu 0.0000 0.0000 0.2328
Os1 Os 0.0000 0.0000 0.5000
```

Energy above the most stable polymorph in this dataset ... 271.1 meV/atom


# 4
## TmLuOs2 (GGA-PBE)

Data for a relaxed TmLuOs2 crystal.

CIF file:
```
data_TmLuOs2
_cell_length_a 3.353
_cell_length_b 3.353
_cell_length_c 6.705
_cell_angle_alpha 90.00
_cell_angle_beta 90.00
_cell_angle_gamma 90.00
_symmetry_space_group_name_H-M 'P 4/m m m'
_symmetry_Int_Tables_number 123
_symmetry_space_group_name_Hall '-P 4 2'
loop_
_atom_site_label
_atom_site_type_symbol
_atom_site_fract_x
_atom_site_fract_y
_atom_site_fract_z
Tm1 Tm 0.000 0.000 0.000
Lu1 Lu 0.000 0.000 0.500
Os1 Os 0.500 0.500 0.252
```

Energy above the most stable polymorph in this dataset ... 0.0 meV/atom


# 5
## LuUOs2 (GGA-PBE)

Data for a relaxed LuUOs2 crystal.

CIF file:
```
data_LuUOs2
_cell_length_a 3.5473
_cell_length_b 3.5473
_cell_length_c 22.8242
_cell_angle_alpha 90.00
_cell_angle_beta 90.00
_cell_angle_gamma 120.00
_symmetry_space_group_name_H-M 'R -3 m'
_symmetry_Int_Tables_number 166
_symmetry_space_group_name_Hall '-R 3 2"'
loop_
_atom_site_label
_atom_site_type_symbol
_atom_site_fract_x
_atom_site_fract_y
_atom_site_fract_z
Lu1 Lu 0.0000 0.0000 0.0000
U1 U 0.0000 0.0000 0.5000
Os1 Os 0.0000 0.0000 0.2418
```

Energy above the most stable polymorph in this dataset ... 319.2 meV/atom


# 6
## LuUOs (GGA-PBE)

Data for a relaxed LuUOs crystal.

CIF file:
```
data_LuUOs
_cell_length_a 3.475
_cell_length_b 3.475
_cell_length_c 10.610
_cell_angle_alpha 90.00
_cell_angle_beta 90.00
_cell_angle_gamma 90.00
_symmetry_space_group_name_H-M 'I 4 m m'
_symmetry_Int_Tables_number 107
_symmetry_space_group_name_Hall 'I 4 -2'
loop_
_atom_site_label
_atom_site_type_symbol
_atom_site_fract_x
_atom_site_fract_y
_atom_site_fract_z
Lu1 Lu 0.000 0.000 0.000
U1 U 0.000 0.000 0.701
Os1 Os 0.000 0.000 0.316
```

Electronic total energy ... -9.042 eV per atom


# 7
## LuUOs2 (GGA-PBE)

Data for a relaxed LuUOs2 crystal.

CIF file:
```
data_LuUOs2
_cell_length_a 6.750
_cell_length_b 6.750
_cell_length_c 6.750
_cell_angle_alpha 90.00
_cell_angle_beta 90.00
_cell_angle_gamma 90.00
_symmetry_space_group_name_H-M 'F m -3 m'
_symmetry_Int_Tables_number 225
_symmetry_space_group_name_Hall '-F 4 2 3'
loop_
_atom_site_label
_atom_site_type_symbol
_atom_site_fract_x
_atom_site_fract_y
_atom_site_fract_z
Lu1 Lu 0.000 0.000 0.000
U1 U 0.000 0.000 0.500
Os1 Os 0.250 0.250 0.250
```

Energy above the most stable polymorph in this dataset ... 70.7 meV/atom


# 8
## LuUOs2 (GGA-PBE)

Data for a relaxed LuUOs2 crystal.

CIF file:
```
data_LuUOs2
_cell_length_a 3.414
_cell_length_b 3.414
_cell_length_c 6.630
_cell_angle_alpha 90.00
_cell_angle_beta 90.00
_cell_angle_gamma 90.00
_symmetry_space_group_name_H-M 'P 4/m m m'
_symmetry_Int_Tables_number 123
_symmetry_space_group_name_Hall '-P 4 2'
loop_
_atom_site_label
_atom_site_type_symbol
_atom_site_fract_x
_atom_site_fract_y
_atom_site_fract_z
Lu1 Lu 0.000 0.000 0.000
U1 U 0.000 0.000 0.500
Os1 Os 0.500 0.500 0.272
```

Energy above the most stable polymorph in this dataset ... 0.0 meV/atom